Ho5TmTh5: relaxed, PBE-GGA.

```
Ho5TmTh5
1.0
-2.194 -4.518 3.779
2.727 -1.516 -5.457
9.871 -0.543 5.083
Ho Tm Th
5 1 5
direct
0.667 0.333 0.180
0.667 0.333 0.820
0.333 0.667 0.326
0.333 0.667 0.674
0.000 0.000 0.000
0.333 0.667 0.000
0.347 0.173 0.500
0.000 0.000 0.269
0.827 0.653 0.500
0.827 0.173 0.500
0.000 0.000 0.731
```

Values from the calculation:
Fermi-level density of states: 17.94 states/eV/f.u.
calculated formation energy: 0.39 eV per atom
volume: 380.32 Å³/cell